Here is a relaxed structure of Na2Y2OsO6 from Alexandria via LeMat-Bulk. Energies are from PBE-GGA.

- calculated total energy (eV/atom) = -7.308
- space-group type = No. 12
- raw formation energy (eV per atom) = -2.17

abc: 5.750 5.750 5.906
angles: 97.36 97.36 120.29
Atoms (fractional coordinates):
1 Na 0.145 0.855 0.000
2 Na 0.855 0.145 0.000
3 Y 0.338 0.662 0.500
4 Y 0.662 0.338 0.500
5 Os 0.000 0.000 0.500
6 O 0.040 0.353 0.691
7 O 0.249 0.249 0.295
8 O 0.353 0.040 0.691
9 O 0.647 0.960 0.309
10 O 0.751 0.751 0.705
11 O 0.960 0.647 0.309